No. 1
Entry from the Alexandria database: LiU2Se3 after structural relaxation (PBE-GGA).

a = 7.108 Å, b = 7.108 Å, c = 7.108 Å
α = 147.97°, β = 132.39°, γ = 58.54°
Element x y z (fractional)
Li1 0.000 0.000 0.000
U1 0.329 0.329 0.000
U2 0.671 0.671 0.000
Se1 0.156 0.656 0.500
Se2 0.500 0.000 0.500
Se3 0.844 0.344 0.500

The calculation puts the density of states at the Fermi level at 1.873 states/eV/atom. The calculation puts the electronic total energy at -6.93 eV per atom. For the density, the calculation gives 8.6 g/cm³. The formation energy from raw total energies comes out at -1103 meV per atom. The total magnetization is 6.068 μB/f.u. The calculation puts the energy above the lowest structure with this stoichiometry at 0 meV/atom. As for the space group: Immm.

---

No. 2
Entry from the Alexandria database: YTc2Sb after structural relaxation (PBE-GGA).

a = 5.452 Å, b = 5.452 Å, c = 3.092 Å
α = 104.76°, β = 104.76°, γ = 111.62°
Element x y z (fractional)
Y1 0.000 0.000 0.000
Tc1 0.000 0.500 0.500
Tc2 0.500 0.000 0.500
Sb1 0.500 0.500 0.000

The calculation puts the density of states at the Fermi level at 0.921 states/eV/atom. The calculation puts the electronic total energy at -7.58 eV per atom. For the density, the calculation gives 8.9 g/cm³. The formation energy from raw total energies comes out at 246 meV per atom. The total magnetization is 0.000 μB/f.u. As for the space group: C2/m.

---

No. 3
Entry from the Alexandria database: MgZrAl2Pd2 after structural relaxation (PBE-GGA).

a = 4.423 Å, b = 4.423 Å, c = 6.088 Å
α = 90.00°, β = 90.00°, γ = 120.00°
Element x y z (fractional)
Mg1 0.000 0.000 0.000
Zr1 0.000 0.000 0.500
Al1 0.333 0.667 0.236
Al2 0.667 0.333 0.764
Pd1 0.333 0.667 0.759
Pd2 0.667 0.333 0.241

The calculation puts the density of states at the Fermi level at 0.649 states/eV/atom. The calculation puts the electronic total energy at -5.33 eV per atom. The formation energy from the elements is -380 kJ/mol of formula units. For the density, the calculation gives 6.2 g/cm³. The total magnetization is 0.000 μB/f.u. As for the space group: P-3m1.

---

No. 4
Entry from the Alexandria database: PuMnZnOs after structural relaxation (PBE-GGA).

a = 4.515 Å, b = 4.515 Å, c = 4.515 Å
α = 60.00°, β = 60.00°, γ = 60.00°
Element x y z (fractional)
Pu1 0.000 0.000 0.000
Mn1 0.750 0.750 0.750
Zn1 0.500 0.500 0.500
Os1 0.250 0.250 0.250

The calculation puts the density of states at the Fermi level at 1.237 states/eV/atom. The calculation puts the electronic total energy at -8.94 eV per atom. The formation energy from the elements is 23 kJ/mol of formula units. For the density, the calculation gives 14.2 g/cm³. The total magnetization is 1.641 μB/f.u. As for the space group: F-43m.

---

No. 5
Entry from the Alexandria database: Ca3Nd2ThTe6 after structural relaxation (PBE-GGA).

a = 10.161 Å, b = 10.161 Å, c = 9.142 Å
α = 105.69°, β = 105.69°, γ = 25.06°
Element x y z (fractional)
Ca1 0.000 0.000 0.000
Ca2 0.332 0.332 0.673
Ca3 0.668 0.668 0.327
Nd1 0.338 0.338 0.179
Nd2 0.662 0.662 0.821
Th1 0.000 0.000 0.500
Te1 0.168 0.168 0.080
Te2 0.168 0.168 0.573
Te3 0.496 0.496 0.753
Te4 0.504 0.504 0.247
Te5 0.832 0.832 0.427
Te6 0.832 0.832 0.920

The calculation puts the density of states at the Fermi level at 0.543 states/eV/atom. The calculation puts the electronic total energy at -4.91 eV per atom. For the density, the calculation gives 6.1 g/cm³. The formation energy from raw total energies comes out at -1427 meV per atom. The total magnetization is 0.000 μB/f.u. As for the space group: C2/m.

---

No. 6
Entry from the Alexandria database: SiAg2B after structural relaxation (PBE-GGA).

a = 4.400 Å, b = 4.400 Å, c = 4.400 Å
α = 60.00°, β = 60.00°, γ = 60.00°
Element x y z (fractional)
Si1 0.000 0.000 0.000
Ag1 0.250 0.250 0.250
Ag2 0.750 0.750 0.750
B1 0.500 0.500 0.500

The calculation puts the density of states at the Fermi level at 0.572 states/eV/atom. The calculation puts the electronic total energy at -3.45 eV per atom. For the density, the calculation gives 7.0 g/cm³. The formation energy from raw total energies comes out at 1001 meV per atom. The total magnetization is 0.000 μB/f.u. The calculation puts the energy above the lowest structure with this stoichiometry at 125 meV/atom. As for the space group: Fm-3m.